Material: KAg2Te
Method: DFT, PBE-GGA
State: relaxed

It has space group Pmmm (No. 47), with a = 3.178 Å, b = 5.699 Å, c = 5.847 Å, α = 90.00°, β = 90.00° and γ = 90.00°. The asymmetric unit holds K at (0.000, 0.000, 0.000), Ag at (0.000, 0.500, 0.500), Ag at (0.500, 0.000, 0.500) and Te at (0.500, 0.500, 0.000).

The total DFT energy (no corrections) is -2.4711 eV/atom. As for the density: 5.998 Mg/m³. Its total moment is 0.0 μB/cell. The calculation puts the volume at 26.5 Å³/atom.

=====

Material: K2AgTe
Method: DFT, PBE-GGA
State: relaxed

It has space group C2/m (No. 12), with a = 9.507 Å, b = 3.412 Å, c = 9.214 Å, α = 90.00°, β = 96.48° and γ = 90.00°. The asymmetric unit holds K at (0.247, 0.000, 0.234), Ag at (0.000, 0.000, 0.500) and Te at (0.000, 0.500, 0.000).

The total DFT energy (no corrections) is -2.3594 eV/atom. As for the density: 3.508 Mg/m³. Its total moment is 0.0 μB/cell. The calculation puts the volume at 37.1 Å³/atom.

=====

Material: KAg2Te
Method: DFT, PBE-GGA
State: relaxed

It has space group I4_1/amd (No. 141, origin choice 2), with a = 5.450 Å, b = 5.450 Å, c = 19.964 Å, α = 90.00°, β = 90.00° and γ = 90.00°. The asymmetric unit holds K at (0.000, 0.250, 0.375), Ag at (0.000, 0.000, 0.000) and Te at (0.000, 0.250, 0.875).

The total DFT energy (no corrections) is -2.6723 eV/atom. As for the density: 4.284 Mg/m³. Its total moment is 0.0 μB/cell. The calculation puts the volume at 37.1 Å³/atom.